No. 1
Here is a relaxed structure of Zr3Zn3C from Alexandria. Energies are from GGA-PBEsol.

```
Zr3Zn3C
1.0
0.000 6.046 6.046
6.046 0.000 6.046
6.046 6.046 0.000
Zr Zn C
12 12 4
Direct
0.066 0.066 0.684
0.066 0.684 0.066
0.066 0.684 0.684
0.316 0.316 0.934
0.316 0.934 0.316
0.316 0.934 0.934
0.684 0.066 0.066
0.684 0.066 0.684
0.684 0.684 0.066
0.934 0.316 0.316
0.934 0.316 0.934
0.934 0.934 0.316
0.000 0.500 0.500
0.295 0.295 0.295
0.295 0.295 0.615
0.295 0.615 0.295
0.385 0.705 0.705
0.500 0.000 0.500
0.500 0.500 0.000
0.500 0.500 0.500
0.615 0.295 0.295
0.705 0.385 0.705
0.705 0.705 0.385
0.705 0.705 0.705
0.000 0.000 0.000
0.000 0.000 0.500
0.000 0.500 0.000
0.500 0.000 0.000
```

Calculated values
Total DFT energy (no corrections) = -0.2384 hartree per atom
ΔE_f = -535 meV per atom
Size of the total moment = 0.001 Bohr magnetons per cell

---

No. 2
Here is a relaxed structure of LiBe2Re from Alexandria. Energies are from GGA-PBEsol.

```
LiBe2Re
1.0
5.923 0.000 0.000
0.000 5.923 0.000
0.000 0.000 4.774
Li Be Re
4 8 4
Direct
0.000 0.000 0.000
0.000 0.500 0.250
0.500 0.000 0.750
0.500 0.500 0.500
0.222 0.250 0.125
0.250 0.722 0.375
0.250 0.778 0.875
0.278 0.250 0.625
0.722 0.750 0.625
0.750 0.222 0.875
0.750 0.278 0.375
0.778 0.750 0.125
0.000 0.000 0.500
0.000 0.500 0.750
0.500 0.000 0.250
0.500 0.500 0.000
```

Calculated values
Total DFT energy (no corrections) = -0.1952 hartree per atom
ΔE_f = 514 meV per atom
Offset from the most stable computed form = 0.376 eV/atom
Size of the total moment = 0.000 Bohr magnetons per cell

---

No. 3
Here is a relaxed structure of ZrTlSe from Alexandria. Energies are from GGA-PBEsol.

```
ZrTlSe
1.0
6.611 0.000 0.000
0.000 6.611 0.000
0.000 0.000 6.611
Zr Tl Se
4 4 4
Direct
0.000 0.000 0.000
0.000 0.500 0.500
0.500 0.000 0.500
0.500 0.500 0.000
0.000 0.000 0.500
0.000 0.500 0.000
0.500 0.000 0.000
0.500 0.500 0.500
0.250 0.250 0.750
0.250 0.750 0.250
0.750 0.250 0.250
0.750 0.750 0.750
```

Calculated values
Total DFT energy (no corrections) = -0.1943 hartree per atom
Formation energy without anion corrections = -0.098 eV/atom
Size of the total moment = 0.000 Bohr magnetons per cell